No. 1
This record from Alexandria describes a geometry-optimized CsSb structure. The functional is GGA-PBE.

Properties
Space-group type: No. 31
Energy in eV per atom: -2.82
V in Å³ per atom: 61.91
ΔE_f (raw) in eV per atom: -0.331

POSCAR file:
```
CsSb
1.0
16.325 0.000 0.000
0.000 5.990 0.000
0.000 0.000 7.597
Cs Sb
6 6
Direct
0.000 0.248 0.000
0.206 0.751 0.321
0.294 0.249 0.821
0.500 0.752 0.500
0.706 0.249 0.821
0.794 0.751 0.321
0.000 0.748 0.621
0.140 0.748 0.821
0.360 0.252 0.321
0.500 0.252 0.121
0.640 0.252 0.321
0.860 0.748 0.821
```

No. 2
This record from Alexandria describes a geometry-optimized Pa2SnRh3 structure. The functional is GGA-PBE.

Properties
Space-group type: No. 70
Energy in eV per atom: -7.94
V in Å³ per atom: 22.19
ΔE_f in kJ/mol of formula units: -253

POSCAR file:
```
Pa2SnRh3
1.0
0.000 6.043 7.316
6.022 0.000 7.316
6.022 6.043 0.000
Pa Sn Rh
8 4 12
Direct
0.186 0.776 0.770
0.224 0.814 0.232
0.230 0.232 0.814
0.232 0.230 0.224
0.768 0.770 0.776
0.770 0.768 0.186
0.776 0.186 0.768
0.814 0.224 0.230
0.000 0.500 0.500
0.500 0.000 0.500
0.500 0.500 0.000
0.500 0.500 0.500
0.122 0.122 0.628
0.128 0.622 0.622
0.129 0.621 0.129
0.372 0.372 0.878
0.378 0.872 0.872
0.379 0.871 0.379
0.621 0.129 0.621
0.622 0.128 0.128
0.628 0.628 0.122
0.871 0.379 0.871
0.872 0.378 0.378
0.878 0.878 0.372
```

Please write out number 2 again, unchanged.
This record from Alexandria describes a geometry-optimized Pa2SnRh3 structure. The functional is GGA-PBE.

Properties
Space-group type: No. 70
Energy in eV per atom: -7.94
V in Å³ per atom: 22.19
ΔE_f in kJ/mol of formula units: -253

POSCAR file:
```
Pa2SnRh3
1.0
0.000 6.043 7.316
6.022 0.000 7.316
6.022 6.043 0.000
Pa Sn Rh
8 4 12
Direct
0.186 0.776 0.770
0.224 0.814 0.232
0.230 0.232 0.814
0.232 0.230 0.224
0.768 0.770 0.776
0.770 0.768 0.186
0.776 0.186 0.768
0.814 0.224 0.230
0.000 0.500 0.500
0.500 0.000 0.500
0.500 0.500 0.000
0.500 0.500 0.500
0.122 0.122 0.628
0.128 0.622 0.622
0.129 0.621 0.129
0.372 0.372 0.878
0.378 0.872 0.872
0.379 0.871 0.379
0.621 0.129 0.621
0.622 0.128 0.128
0.628 0.628 0.122
0.871 0.379 0.871
0.872 0.378 0.378
0.878 0.878 0.372
```